No. 1
Te2OsAu at its PBEsol-relaxed geometry, computed with meta-GGA SCAN.

Cell lengths 3.147, 4.376, 6.813 Å; angles 108.73, 103.35, 90.00 degrees
Fractional coordinates of all 4 atoms:
Au: 0.566 0.566 0.133
Os: 0.272 0.772 0.544
Te: 0.942 0.942 0.883
Te: 0.720 0.220 0.440

energy relative to the lowest polymorph listed for this composition	0.240	eV per atom
space-group type	Imm2
energy relative to the elements, uncorrected	0.508	eV/atom

No. 2
MnI3N at its PBEsol-relaxed geometry, computed with meta-GGA SCAN.

Cell lengths 5.434, 5.434, 5.434 Å; angles 90.00, 90.00, 90.00 degrees
Each line ends with the local moment (μB).
Fractional coordinates of all 5 atoms:
I: 0.000 0.500 0.000  0.02
I: 0.000 0.000 0.500  0.02
I: 0.500 0.000 0.000  0.02
Mn: 0.000 0.000 0.000  4.17
N: 0.500 0.500 0.500  1.93

energy relative to the lowest polymorph listed for this composition	0.000	eV per atom
space-group type	Pm-3m
energy relative to the elements, uncorrected	0.631	eV/atom

No. 3
CdFe2Pt at its PBEsol-relaxed geometry, computed with meta-GGA SCAN.

Cell lengths 2.854, 4.487, 5.151 Å; angles 115.82, 106.08, 90.00 degrees
Each line ends with the local moment (μB).
Fractional coordinates of all 4 atoms:
Cd: 0.259 0.759 0.518  -0.06
Fe: 0.024 0.024 0.047  3.01
Fe: 0.734 0.234 0.469  2.94
Pt: 0.483 0.483 0.966  0.31

space-group type	Imm2
ΔH_f (0 K)	-0.06	eV/atom

no.,calculated density (g/cm³)
1,12.4
2,4.7
3,12.3